No. 1
The following is a DFT calculation (GGA-PBE) of crystalline UTeSe at its relaxed geometry.

Computed properties:
As for the total magnetization: 1.99 μB/f.u. As for the excess energy over the best structure of this formula in the dataset: 21 meV/atom. The calculation puts the formation energy from raw total energies at -0.8930 eV/atom. As for the space group: Pnma, No. 62.

Structure (POSCAR):
```
UTeSe
1.0
-3.6081 0.4515 1.5275
2.6278 -1.8896 6.7655
2.2352 10.6945 2.1188
Te U Se
4 4 4
direct
0.2500 0.7079 0.5411 Te
0.2500 0.2079 0.9589 Te
0.7500 0.7921 0.0411 Te
0.7500 0.2921 0.4589 Te
0.2500 0.8264 0.8271 U
0.7500 0.1736 0.1729 U
0.7500 0.6736 0.3271 U
0.2500 0.3264 0.6729 U
0.7500 0.5457 0.7820 Se
0.7500 0.0457 0.7180 Se
0.2500 0.9543 0.2820 Se
0.2500 0.4543 0.2180 Se
```

No. 2
The following is a DFT calculation (GGA-PBE) of crystalline YUTeSe2 at its relaxed geometry.

Computed properties:
As for the total magnetization: 3.00 μB/f.u. The calculation puts the formation energy from raw total energies at -0.9644 eV/atom. As for the space group: I4mm, No. 107.

Structure (POSCAR):
```
YUTeSe2
1.0
4.5821 0.0000 0.0000
0.0000 4.5821 0.0000
-2.2911 -2.2911 6.8743
Se U Y Te
2 1 1 1
direct
0.2498 0.7498 0.4995 Se
0.7498 0.2498 0.4995 Se
0.1281 0.1281 0.2561 U
0.8687 0.8687 0.7374 Y
0.5037 0.5037 0.0075 Te
```

| no. | DFT total energy (eV/atom) |
| --- | --- |
| 1 | -6.8644 |
| 2 | -6.5370 |